{
  "formula": "CeZn6",
  "functional": "PBE",
  "state": "relaxed",
  "lattice_angstrom": [[-0.060, -4.320, 2.779], [7.595, 2.316, 3.763], [-5.369, 5.047, 7.730]],
  "species": ["Ce", "Ce", "Ce", "Ce", "Zn", "Zn", "Zn", "Zn", "Zn", "Zn", "Zn", "Zn", "Zn", "Zn", "Zn", "Zn", "Zn", "Zn", "Zn", "Zn", "Zn", "Zn", "Zn", "Zn", "Zn", "Zn", "Zn", "Zn"],
  "frac_coords": [[0.750, 0.240, 0.942], [0.250, 0.760, 0.058], [0.750, 0.740, 0.558], [0.250, 0.260, 0.442], [0.750, 0.580, 0.022], [0.250, 0.420, 0.978], [0.750, 0.080, 0.478], [0.250, 0.920, 0.522], [0.011, 0.430, 0.193], [0.511, 0.570, 0.807], [0.489, 0.930, 0.307], [0.989, 0.070, 0.693], [0.989, 0.570, 0.807], [0.489, 0.430, 0.193], [0.511, 0.070, 0.693], [0.011, 0.930, 0.307], [0.250, 0.136, 0.147], [0.750, 0.864, 0.853], [0.250, 0.636, 0.353], [0.750, 0.364, 0.647], [0.250, 0.807, 0.749], [0.750, 0.193, 0.251], [0.250, 0.307, 0.751], [0.750, 0.693, 0.249], [0.250, 0.553, 0.588], [0.750, 0.447, 0.412], [0.250, 0.053, 0.912], [0.750, 0.947, 0.088]],
  "magnetic_moment_mub_per_fu": 0.7,
  "total_energy_ev_per_atom": -2.129
}

{
  "formula": "Ce3Zn",
  "functional": "PBE",
  "state": "relaxed",
  "lattice_angstrom": [[-2.386, 1.366, -1.631], [-1.013, -4.702, -2.456], [-3.493, -1.334, 3.995]],
  "species": ["Zn", "Ce", "Ce", "Ce"],
  "frac_coords": [[0.000, 0.000, 0.940], [0.500, 0.000, 0.433], [0.500, 0.500, 0.909], [0.000, 0.500, 0.385]],
  "magnetic_moment_mub_per_fu": 0.0,
  "total_energy_ev_per_atom": -4.839
}

{
  "formula": "Ce3Zn22",
  "functional": "PBE",
  "state": "relaxed",
  "lattice_angstrom": [[-8.296, -2.861, 1.354], [1.687, -0.781, 8.683], [0.103, 11.826, -3.496]],
  "species": ["Ce", "Ce", "Ce", "Ce", "Ce", "Ce", "Zn", "Zn", "Zn", "Zn", "Zn", "Zn", "Zn", "Zn", "Zn", "Zn", "Zn", "Zn", "Zn", "Zn", "Zn", "Zn", "Zn", "Zn", "Zn", "Zn", "Zn", "Zn", "Zn", "Zn", "Zn", "Zn", "Zn", "Zn", "Zn", "Zn", "Zn", "Zn", "Zn", "Zn", "Zn", "Zn", "Zn", "Zn", "Zn", "Zn", "Zn", "Zn", "Zn", "Zn"],
  "frac_coords": [[0.378, 0.378, 0.756], [0.628, 0.128, 0.256], [0.872, 0.372, 0.744], [0.622, 0.622, 0.244], [0.250, 0.750, 0.500], [0.000, 0.000, 0.000], [0.084, 0.555, 0.628], [0.544, 0.555, 0.628], [0.805, 0.834, 0.128], [0.323, 0.834, 0.128], [0.084, 0.073, 0.628], [0.544, 0.073, 0.628], [0.805, 0.294, 0.128], [0.323, 0.294, 0.128], [0.166, 0.195, 0.872], [0.706, 0.195, 0.872], [0.445, 0.916, 0.372], [0.927, 0.916, 0.372], [0.166, 0.677, 0.872], [0.706, 0.677, 0.872], [0.445, 0.456, 0.372], [0.927, 0.456, 0.372], [0.501, 0.723, 0.003], [0.973, 0.251, 0.503], [0.530, 0.251, 0.503], [0.501, 0.280, 0.003], [0.749, 0.027, 0.497], [0.277, 0.499, 0.997], [0.720, 0.499, 0.997], [0.749, 0.470, 0.497], [0.242, 0.389, 0.483], [0.639, 0.992, 0.983], [0.344, 0.992, 0.983], [0.242, 0.094, 0.483], [0.008, 0.361, 0.017], [0.611, 0.758, 0.517], [0.906, 0.758, 0.517], [0.008, 0.656, 0.017], [0.388, 0.040, 0.775], [0.290, 0.138, 0.275], [0.985, 0.138, 0.275], [0.388, 0.735, 0.775], [0.862, 0.710, 0.725], [0.960, 0.612, 0.225], [0.265, 0.612, 0.225], [0.862, 0.015, 0.725], [0.125, 0.375, 0.250], [0.625, 0.875, 0.750], [0.125, 0.875, 0.750], [0.125, 0.875, 0.250]],
  "magnetic_moment_mub_per_fu": 2.3,
  "total_energy_ev_per_atom": -2.069
}

{
  "formula": "Ce2Zn3",
  "functional": "PBE",
  "state": "relaxed",
  "lattice_angstrom": [[-0.201, 2.404, -2.141], [-1.842, -2.885, -3.066], [-12.791, 1.964, 5.838]],
  "species": ["Ce", "Ce", "Ce", "Ce", "Zn", "Zn", "Zn", "Zn", "Zn", "Zn"],
  "frac_coords": [[0.281, 0.750, 0.562], [0.719, 0.250, 0.438], [0.571, 0.750, 0.143], [0.429, 0.250, 0.857], [0.169, 0.750, 0.337], [0.831, 0.250, 0.663], [0.879, 0.750, 0.757], [0.121, 0.250, 0.243], [0.024, 0.250, 0.048], [0.976, 0.750, 0.952]],
  "magnetic_moment_mub_per_fu": 1.0,
  "total_energy_ev_per_atom": -3.374
}

{
  "formula": "Ce3Zn",
  "functional": "PBE",
  "state": "relaxed",
  "lattice_angstrom": [[-0.450, 5.081, 0.945], [-5.681, 0.063, -2.594], [-1.062, -1.136, 6.049]],
  "species": ["Ce", "Ce", "Ce", "Ce", "Ce", "Ce", "Zn", "Zn"],
  "frac_coords": [[0.250, 0.063, 0.063], [0.750, 0.937, 0.937], [0.722, 0.867, 0.489], [0.278, 0.133, 0.511], [0.278, 0.511, 0.133], [0.722, 0.489, 0.867], [0.233, 0.663, 0.663], [0.767, 0.337, 0.337]],
  "magnetic_moment_mub_per_fu": 0.1,
  "total_energy_ev_per_atom": -4.845
}

{
  "formula": "Ce3Zn8",
  "functional": "PBE",
  "state": "relaxed",
  "lattice_angstrom": [[3.453, 0.000, -0.516], [-0.109, 4.468, -0.727], [0.352, 0.017, 14.152]],
  "species": ["Ce", "Ce", "Ce", "Zn", "Zn", "Zn", "Zn", "Zn", "Zn", "Zn", "Zn"],
  "frac_coords": [[0.000, 0.000, 0.000], [0.144, 0.644, 0.288], [0.856, 0.356, 0.712], [0.742, 0.742, 0.483], [0.258, 0.258, 0.517], [0.548, 0.548, 0.096], [0.452, 0.452, 0.904], [0.405, 0.905, 0.810], [0.595, 0.095, 0.190], [0.311, 0.811, 0.621], [0.689, 0.189, 0.379]],
  "magnetic_moment_mub_per_fu": 2.7,
  "total_energy_ev_per_atom": -2.789
}

{
  "formula": "Ce6Zn23",
  "functional": "PBE",
  "state": "relaxed",
  "lattice_angstrom": [[-2.335, -6.697, 5.713], [6.225, -3.590, 5.594], [-0.459, 1.605, 8.953]],
  "species": ["Ce", "Ce", "Ce", "Ce", "Ce", "Ce", "Zn", "Zn", "Zn", "Zn", "Zn", "Zn", "Zn", "Zn", "Zn", "Zn", "Zn", "Zn", "Zn", "Zn", "Zn", "Zn", "Zn", "Zn", "Zn", "Zn", "Zn", "Zn", "Zn"],
  "frac_coords": [[0.209, 0.791, 0.791], [0.791, 0.209, 0.209], [0.209, 0.209, 0.791], [0.791, 0.791, 0.209], [0.209, 0.791, 0.209], [0.791, 0.209, 0.791], [0.500, 0.500, 0.500], [0.500, 0.000, 0.000], [0.000, 0.500, 0.500], [0.500, 0.500, 0.000], [0.000, 0.000, 0.500], [0.500, 0.000, 0.500], [0.000, 0.500, 0.000], [0.132, 0.623, 0.623], [0.623, 0.623, 0.132], [0.623, 0.132, 0.623], [0.623, 0.623, 0.623], [0.377, 0.377, 0.868], [0.868, 0.377, 0.377], [0.377, 0.868, 0.377], [0.377, 0.377, 0.377], [0.519, 0.827, 0.827], [0.827, 0.827, 0.519], [0.827, 0.519, 0.827], [0.827, 0.827, 0.827], [0.173, 0.173, 0.481], [0.481, 0.173, 0.173], [0.173, 0.481, 0.173], [0.173, 0.173, 0.173]],
  "magnetic_moment_mub_per_fu": 5.8,
  "total_energy_ev_per_atom": -2.467
}

{
  "formula": "CeZn11",
  "functional": "PBE",
  "state": "relaxed",
  "lattice_angstrom": [[8.239, -0.013, 0.000], [-5.340, 6.274, 0.000], [-1.450, -3.131, 7.482]],
  "species": ["Ce", "Ce", "Zn", "Zn", "Zn", "Zn", "Zn", "Zn", "Zn", "Zn", "Zn", "Zn", "Zn", "Zn", "Zn", "Zn", "Zn", "Zn", "Zn", "Zn", "Zn", "Zn", "Zn", "Zn"],
  "frac_coords": [[0.000, 0.000, 0.000], [0.250, 0.750, 0.500], [0.757, 0.173, 0.827], [0.625, 0.875, 0.250], [0.070, 0.243, 0.416], [0.346, 0.173, 0.416], [0.070, 0.654, 0.827], [0.904, 0.577, 0.084], [0.346, 0.930, 0.173], [0.750, 0.250, 0.500], [0.904, 0.820, 0.327], [0.500, 0.500, 0.000], [0.423, 0.096, 0.916], [0.625, 0.375, 0.250], [0.493, 0.577, 0.673], [0.180, 0.096, 0.673], [0.757, 0.930, 0.584], [0.827, 0.654, 0.584], [0.423, 0.507, 0.327], [0.493, 0.820, 0.916], [0.180, 0.507, 0.084], [0.827, 0.243, 0.173], [0.125, 0.375, 0.750], [0.625, 0.375, 0.750]],
  "magnetic_moment_mub_per_fu": 1.0,
  "total_energy_ev_per_atom": -1.849
}

{
  "formula": "CeZn2",
  "functional": "PBE",
  "state": "relaxed",
  "lattice_angstrom": [[4.633, -0.004, -0.004], [2.317, 5.199, 0.296], [2.317, 0.605, 5.173]],
  "species": ["Zn", "Zn", "Zn", "Zn", "Ce", "Ce"],
  "frac_coords": [[0.166, 0.357, 0.310], [0.834, 0.190, 0.143], [0.834, 0.643, 0.690], [0.166, 0.810, 0.857], [0.490, 0.760, 0.260], [0.510, 0.240, 0.740]],
  "magnetic_moment_mub_per_fu": 0.9,
  "total_energy_ev_per_atom": -3.111
}

{
  "formula": "CeZn5",
  "functional": "PBE",
  "state": "relaxed",
  "lattice_angstrom": [[4.519, 0.000, 0.000], [0.000, 4.529, 0.000], [0.000, -2.264, 5.454]],
  "species": ["Zn", "Zn", "Zn", "Zn", "Zn", "Ce"],
  "frac_coords": [[0.500, 0.818, 0.636], [0.000, 0.686, 0.372], [0.500, 0.500, 0.000], [0.000, 0.314, 0.628], [0.500, 0.182, 0.364], [0.000, 0.000, 0.000]],
  "magnetic_moment_mub_per_fu": 0.8,
  "polymorph_energy_mev_per_atom": 163,
  "total_energy_ev_per_atom": -2.135
}

{
  "formula": "Ce3Zn",
  "functional": "PBE",
  "state": "relaxed",
  "lattice_angstrom": [[5.664, -0.015, 0.000], [1.996, 5.301, 0.000], [-3.830, -2.643, 3.229]],
  "species": ["Zn", "Ce", "Ce", "Ce"],
  "frac_coords": [[0.000, 0.000, 0.000], [0.750, 0.250, 0.500], [0.250, 0.750, 0.500], [0.500, 0.500, 0.000]],
  "magnetic_moment_mub_per_fu": 1.5,
  "total_energy_ev_per_atom": -4.813
}

{
  "formula": "CeZn7",
  "functional": "PBE",
  "state": "relaxed",
  "lattice_angstrom": [[3.879, -0.003, 1.230], [1.457, 5.824, 2.080], [0.100, 0.304, 6.346]],
  "species": ["Ce", "Zn", "Zn", "Zn", "Zn", "Zn", "Zn", "Zn"],
  "frac_coords": [[0.000, 0.000, 0.000], [0.746, 0.754, 0.754], [0.254, 0.246, 0.246], [0.000, 0.500, 0.500], [0.638, 0.547, 0.178], [0.362, 0.453, 0.822], [0.362, 0.822, 0.453], [0.638, 0.178, 0.547]],
  "magnetic_moment_mub_per_fu": 0.8,
  "total_energy_ev_per_atom": -2.037
}